## Be2FeRh2 (GGA-PBE)

Data for a geometry-optimized Be2FeRh2 structure.

Calculated formation energy   -2.085 eV per formula unit
Offset from the most stable computed form   0.000 kcal/mol of atoms
Total energy   -6.541 eV per atom
V   11.165 Å³/atom

abc: 6.2515 6.2515 2.8568
angles: 90.00 90.00 90.00
With the nearest neighbours (Å) after each atom.
Positions (direct):
1 Rh 0.3321 0.8321 0.5000  6 Be 2.31-2.35
2 Rh 0.8321 0.6679 0.5000  6 Be 2.31-2.35
3 Rh 0.1679 0.3321 0.5000  6 Be 2.31-2.35
4 Be 0.1272 0.6272 0.0000  1 Be 2.25, 6 Rh 2.31-2.35, 2 Fe 2.46
5 Be 0.6272 0.8728 0.0000  1 Be 2.25, 6 Rh 2.31-2.35, 2 Fe 2.46
6 Be 0.3728 0.1272 0.0000  1 Be 2.25, 6 Rh 2.31-2.35, 2 Fe 2.46
7 Rh 0.6679 0.1679 0.5000  6 Be 2.31-2.35
8 Fe 0.5000 0.5000 0.0000  4 Be 2.46, 8 Rh 2.73
9 Fe 0.0000 0.0000 0.0000  4 Be 2.46, 8 Rh 2.73
10 Be 0.8728 0.3728 0.0000  1 Be 2.25, 6 Rh 2.31-2.35, 2 Fe 2.46